Entry 1:
{
  "formula": "Ac3Si3Pt2",
  "functional": "PBE",
  "state": "relaxed",
  "lattice": [[-4.177, -1.087, -0.784], [3.414, -0.468, -5.270], [3.154, -14.521, 3.332]],
  "species": ["Pt", "Pt", "Pt", "Pt", "Ac", "Ac", "Ac", "Ac", "Ac", "Ac", "Si", "Si", "Si", "Si", "Si", "Si"],
  "fractional_positions": [[0.786, 0.572, 0.603], [0.786, 0.572, 0.897], [0.214, 0.428, 0.397], [0.214, 0.428, 0.103], [0.924, 0.848, 0.106], [0.924, 0.848, 0.394], [0.633, 0.265, 0.250], [0.076, 0.152, 0.894], [0.367, 0.735, 0.750], [0.076, 0.152, 0.606], [0.660, 0.320, 0.037], [0.340, 0.680, 0.963], [0.340, 0.680, 0.537], [0.670, 0.339, 0.750], [0.330, 0.661, 0.250], [0.660, 0.320, 0.463]],
  "vol_a3_per_cell": 394,
  "crystal_system": "orthorhombic",
  "polymorph_energy_ev_per_atom": 0.087
}


Entry 2:
{
  "formula": "ZrPdW3",
  "functional": "PBE",
  "state": "relaxed",
  "lattice": [[4.744, 0.000, 0.000], [0.000, 4.744, 0.000], [0.000, 0.000, 4.744]],
  "species": ["Pd", "W", "W", "W", "Zr"],
  "fractional_positions": [[0.000, 0.000, 0.000], [0.000, 0.000, 0.500], [0.500, 0.000, 0.000], [0.000, 0.500, 0.000], [0.500, 0.500, 0.500]],
  "formation_enthalpy_0k_ev_per_atom": 1.91,
  "vol_a3_per_cell": 107,
  "crystal_system": "cubic",
  "polymorph_energy_ev_per_atom": 0.000
}


Entry 3:
{
  "formula": "Rb5C3",
  "functional": "PBE",
  "state": "relaxed",
  "lattice": [[1.808, 2.384, -7.519], [-2.446, -7.669, 0.834], [-4.628, 1.403, -0.668]],
  "species": ["Rb", "Rb", "Rb", "Rb", "Rb", "C", "C", "C"],
  "fractional_positions": [[0.703, 0.703, 0.500], [0.500, 0.000, 0.000], [0.000, 0.500, 0.000], [0.297, 0.297, 0.500], [0.000, 0.000, 0.000], [0.851, 0.149, 0.500], [0.500, 0.500, 0.000], [0.149, 0.851, 0.500]],
  "formation_enthalpy_0k_ev_per_atom": 1.71,
  "vol_a3_per_cell": 287,
  "crystal_system": "orthorhombic",
  "polymorph_energy_ev_per_atom": 0.056
}


Entry 4:
{
  "formula": "CeSm2O5",
  "functional": "PBE",
  "state": "relaxed",
  "lattice": [[-1.536, -2.703, 5.019], [-4.165, -0.950, -5.259], [6.433, -4.774, -0.603]],
  "species": ["Ce", "Ce", "Sm", "Sm", "Sm", "Sm", "O", "O", "O", "O", "O", "O", "O", "O", "O", "O"],
  "fractional_positions": [[0.000, 0.000, 0.500], [0.000, 0.000, 0.000], [0.364, 0.724, 0.756], [0.636, 0.276, 0.244], [0.359, 0.724, 0.256], [0.641, 0.276, 0.744], [0.335, 0.356, 0.653], [0.021, 0.356, 0.153], [0.260, 0.852, 0.546], [0.592, 0.852, 0.046], [0.665, 0.644, 0.347], [0.408, 0.148, 0.954], [0.979, 0.644, 0.847], [0.796, 0.000, 0.750], [0.204, 0.000, 0.250], [0.740, 0.148, 0.454]],
  "vol_a3_per_cell": 266,
  "crystal_system": "monoclinic",
  "e_tot_ev_per_atom": -8.395
}


Total magnetic moment (computed, μB per formula unit): 0.000; 0.000; 7.000; 0.000